DFT (PBEsol) results for an optimized crystal structure of Ba2SrHg.

Properties
The electronic total energy is -1.896 eV/atom. The magnetization is 0.001 μB/f.u.

Cell lengths 7.5537, 7.5537, 7.5537 Å; angles 147.60, 132.15, 58.97 degrees
Sites, in units of the cell vectors:
Ba: 0.2009 0.2009 0.0000
Ba: 0.7991 0.7991 0.0000
Sr: 0.5000 0.0000 0.5000
Hg: 0.0000 0.5000 0.5000